Entry from Alexandria: a geometry-optimized LaPm3Pr5 structure (GGA-PBE).

abc: 6.625 12.145 11.528
angles: 129.73 90.00 105.83
Atoms (fractional coordinates):
La1 0.866 0.000 0.750
La2 0.134 0.000 0.250
Pm1 0.000 0.000 0.000
Pm2 0.463 0.322 0.307
Pm3 0.000 0.000 0.500
Pm4 0.537 0.678 0.693
Pm5 0.860 0.322 0.807
Pm6 0.140 0.678 0.193
Pr1 0.405 0.000 0.750
Pr2 0.651 0.662 0.028
Pr3 0.865 0.337 0.127
Pr4 0.349 0.338 0.972
Pr5 0.528 0.663 0.373
Pr6 0.595 0.000 0.250
Pr7 0.011 0.662 0.528
Pr8 0.989 0.338 0.472
Pr9 0.472 0.337 0.627
Pr10 0.135 0.663 0.873

Properties
Space group: C2/c (15)
Density of states at the Fermi level in states/eV per cell: 27.87
Energy above the lowest structure with this stoichiometry in kJ per mole of atoms: 0.0
Total energy in eV per cell: -81.678
E_form in kJ/mol of atoms: 24.0